1.
La12Tl5Ir2: optimized geometry, PBE-GGA.

Lattice parameters (Å, degrees): 9.622 9.622 9.692 109.10 109.10 51.28
Atoms (fractional coordinates):
La 0.021 0.021 0.321
La 0.064 0.685 0.926
La 0.067 0.586 0.316
La 0.315 0.936 0.074
La 0.414 0.933 0.684
La 0.442 0.442 0.646
La 0.558 0.558 0.354
La 0.586 0.067 0.316
La 0.685 0.064 0.926
La 0.933 0.414 0.684
La 0.936 0.315 0.074
La 0.979 0.979 0.679
Tl 0.224 0.224 0.440
Tl 0.275 0.275 0.993
Tl 0.500 0.500 0.000
Tl 0.725 0.725 0.007
Tl 0.776 0.776 0.560
Ir 0.254 0.746 0.500
Ir 0.746 0.254 0.500

Computed properties:
The calculation puts the uncorrected energy at -4.99 eV/atom.

2.
LaTlIr2: optimized geometry, PBE-GGA.

Lattice parameters (Å, degrees): 4.633 4.633 7.682 90.00 90.00 90.00
Atoms (fractional coordinates):
La 0.000 0.000 0.000
La 0.500 0.500 0.500
Tl 0.000 0.000 0.500
Tl 0.500 0.500 0.000
Ir 0.000 0.500 0.250
Ir 0.000 0.500 0.750
Ir 0.500 0.000 0.250
Ir 0.500 0.000 0.750

Computed properties:
The calculation puts the uncorrected energy at -6.32 eV/atom.

3.
LaTlIr: optimized geometry, PBE-GGA.

Lattice parameters (Å, degrees): 3.502 3.502 12.011 90.00 90.00 90.00
Atoms (fractional coordinates):
La 0.000 0.000 0.000
La 0.500 0.500 0.500
Tl 0.000 0.000 0.281
Tl 0.500 0.500 0.781
Ir 0.000 0.000 0.640
Ir 0.500 0.500 0.140

Computed properties:
The calculation puts the uncorrected energy at -5.63 eV/atom.

4.
La7TlIr2: optimized geometry, PBE-GGA.

Lattice parameters (Å, degrees): 8.549 8.549 5.438 90.00 90.00 113.01
Atoms (fractional coordinates):
La 0.000 0.000 0.000
La 0.192 0.447 0.000
La 0.208 0.792 0.500
La 0.447 0.192 0.000
La 0.553 0.808 0.000
La 0.792 0.208 0.500
La 0.808 0.553 0.000
Tl 0.500 0.500 0.500
Ir 0.200 0.800 0.000
Ir 0.800 0.200 0.000

Computed properties:
The calculation puts the uncorrected energy at -5.78 eV/atom.

Fermi-level density of states values (in states/eV/f.u.) by entry order: 21.2; 2.4; 2.0; 10.0.
Calculated formation energy values (in meV per atom) by entry order: -319.2; -65.2; -242.7; -322.6.